(1)
Below is a geometry-optimized LiCr2Sb structure, with properties calculated at the GGA-PBE level.

Structure (extended XYZ):
```
4
Lattice="4.4892 0.0000 0.0000 0.0000 2.8800 -0.0057 0.0000 0.4190 4.7254" Properties=species:S:1:pos:R:3 pbc="T T T"
Cr 0.0000 2.6807 0.2438
Cr 0.0000 1.8487 2.1103
Li 2.2446 0.8247 1.1799
Sb 2.2446 2.4742 3.5397
```

E = -23.56 eV for the cell shown
Raw formation energy = 9.92 kcal/mol of atoms
D(E_F) = 1.00 states/eV/atom

(2)
Below is a geometry-optimized LiCrSb2 structure, with properties calculated at the GGA-PBE level.

Structure (extended XYZ):
```
4
Lattice="4.1864 0.0000 0.0000 0.0000 3.8171 -0.0338 0.0000 1.9190 5.0218" Properties=species:S:1:pos:R:3 pbc="T T T"
Cr 0.0000 3.5765 2.2343
Li 2.0932 3.5970 4.0345
Sb 0.0000 5.5084 4.3939
Sb 2.0932 1.6583 1.8073
```

Energy above the most stable polymorph in this dataset = 0.056 eV per atom
E = -19.79 eV for the cell shown
Raw formation energy = -0.04 kcal/mol of atoms
D(E_F) = 0.52 states/eV/atom

(3)
Below is a geometry-optimized LiCr2Sb structure, with properties calculated at the GGA-PBE level.

Structure (extended XYZ):
```
4
Lattice="-2.5335 1.9326 -0.6817 0.3666 -0.6390 -3.1742 -3.7924 -4.7863 0.5256" Properties=species:S:1:pos:R:3 pbc="T T T"
Cr -0.1551 -0.1958 0.0215
Cr -1.9277 -0.4187 -1.8109
Li -1.8420 -2.3247 0.2553
Sb -3.9307 -2.9467 -1.5333
```

E = -24.52 eV for the cell shown
Raw formation energy = 4.41 kcal/mol of atoms
D(E_F) = 0.77 states/eV/atom

(4)
Below is a geometry-optimized LiCrSb2Te structure, with properties calculated at the GGA-PBE level.

Structure (extended XYZ):
```
5
Lattice="-0.8652 4.9038 -0.7246 -3.3820 -0.0462 3.7257 4.0811 1.2698 3.7204" Properties=species:S:1:pos:R:3 pbc="T T T"
Sb -1.6910 -0.0231 1.8628
Sb -0.4326 2.4519 -0.3623
Te 2.0406 0.6349 1.8602
Li -0.0830 3.0637 3.3608
Cr 0.0000 0.0000 0.0000
```

Energy above the most stable polymorph in this dataset = 0.000 eV per atom
E = -21.96 eV for the cell shown
Raw formation energy = 4.45 kcal/mol of atoms
D(E_F) = 0.54 states/eV/atom

(5)
Below is a geometry-optimized LiCrSbTe2 structure, with properties calculated at the GGA-PBE level.

Structure (extended XYZ):
```
5
Lattice="5.4179 0.0000 0.0000 0.0000 5.4179 0.0000 0.0000 0.0000 5.0211" Properties=species:S:1:pos:R:3 pbc="T T T"
Sb 0.0000 0.0000 2.5106
Te 0.0000 2.7089 0.0000
Te 2.7089 0.0000 0.0000
Li 2.7089 2.7089 2.5106
Cr 0.0000 0.0000 0.0000
```

Energy above the most stable polymorph in this dataset = 0.000 eV per atom
E = -21.30 eV for the cell shown
Raw formation energy = 2.97 kcal/mol of atoms
D(E_F) = 0.81 states/eV/atom

(6)
Below is a geometry-optimized LiTi2CrSb structure, with properties calculated at the GGA-PBE level.

Structure (extended XYZ):
```
5
Lattice="-2.6904 3.3624 -0.8251 -2.8525 -1.6606 2.5337 1.7181 2.2039 3.3788" Properties=species:S:1:pos:R:3 pbc="T T T"
Sb -1.9124 1.9528 2.5437
Ti 0.8591 1.1019 1.6894
Ti -1.3452 1.6812 -0.4125
Li 0.0000 0.0000 0.0000
Cr -1.4262 -0.8303 1.2668
```

E = -28.13 eV for the cell shown
Raw formation energy = 15.32 kcal/mol of atoms
D(E_F) = 0.76 states/eV/atom

(7)
Below is a geometry-optimized LiSc2Cr structure, with properties calculated at the GGA-PBE level.

Structure (extended XYZ):
```
4
Lattice="-8.3719 -5.0543 3.2114 -7.1923 -4.3022 5.9758 -8.9910 -2.2867 4.4588" Properties=species:S:1:pos:R:3 pbc="T T T"
Sc -22.1592 -10.5070 12.3145
Sc -2.3961 -1.1361 1.3316
Cr -12.2776 -5.8216 6.8230
Li 0.0000 0.0000 0.0000
```

E = -22.71 eV for the cell shown
D(E_F) = 1.11 states/eV/atom

(8)
Below is a geometry-optimized LiScCr structure, with properties calculated at the GGA-PBE level.

Structure (extended XYZ):
```
3
Lattice="4.6103 0.0000 0.0000 -2.3051 3.9926 0.0000 0.0000 0.0000 3.0148" Properties=species:S:1:pos:R:3 pbc="T T T"
Cr 0.0000 0.0000 0.2305
Li 0.0000 2.6617 0.8007
Sc 2.3051 1.3309 1.9836
```

Energy above the most stable polymorph in this dataset = 0.026 eV per atom
E = -16.59 eV for the cell shown
D(E_F) = 0.73 states/eV/atom